one.
A relaxed La3Tb4Nd crystal. Source: the Alexandria database, functional PBE.

## Properties
The density of states at the Fermi level comes out at 14.13 states/eV/f.u. As for the calculated volume: 552 Å³/cell.

abc: 6.3845 7.3687 11.7418
angles: 90.00 90.00 90.00
Last column: nearest neighbours and their distance in Å.
Atoms (fractional coordinates):
Tb  0.9802  0.1209  0.2492  6 Tb 3.59-3.66, 1 Nd 3.62, 5 La 3.64-3.72
Tb  0.4802  0.8791  0.2508  6 Tb 3.59-3.66, 1 Nd 3.62, 5 La 3.64-3.72
Tb  0.9802  0.1209  0.7508  6 Tb 3.59-3.66, 1 Nd 3.62, 5 La 3.64-3.72
Tb  0.6490  0.1210  0.5000  6 Tb 3.59-3.66, 2 Nd 3.63-3.74, 4 La 3.65-3.69
Tb  0.4802  0.8791  0.7492  6 Tb 3.59-3.66, 1 Nd 3.62, 5 La 3.64-3.72
Tb  0.6492  0.1221  0.0000  6 Tb 3.61-3.66, 4 La 3.64-3.73, 2 Nd 3.68-3.69
Tb  0.1492  0.8779  0.5000  6 Tb 3.61-3.66, 4 La 3.64-3.73, 2 Nd 3.68-3.69
Tb  0.1490  0.8790  0.0000  6 Tb 3.59-3.66, 2 Nd 3.63-3.74, 4 La 3.65-3.69
La  0.4792  0.3741  0.2496  4 La 3.61-3.69, 2 Nd 3.61-3.65, 6 Tb 3.64-3.72
La  0.1503  0.3715  0.5000  4 La 3.61-3.65, 6 Tb 3.64-3.73, 2 Nd 3.70-3.73
La  0.6503  0.6285  0.0000  4 La 3.61-3.65, 6 Tb 3.64-3.73, 2 Nd 3.70-3.73
La  0.9792  0.6259  0.2504  4 La 3.61-3.69, 2 Nd 3.61-3.65, 6 Tb 3.64-3.72
La  0.9792  0.6259  0.7496  4 La 3.61-3.69, 2 Nd 3.61-3.65, 6 Tb 3.64-3.72
La  0.4792  0.3741  0.7504  4 La 3.61-3.69, 2 Nd 3.61-3.65, 6 Tb 3.64-3.72
Nd  0.1480  0.3712  0.0000  6 La 3.61-3.73, 6 Tb 3.62-3.74
Nd  0.6480  0.6288  0.5000  6 La 3.61-3.73, 6 Tb 3.62-3.74

---

two.
A relaxed La3Tb4Nd crystal. Source: the Alexandria database, functional PBE.

## Properties
The density of states at the Fermi level comes out at 13.68 states/eV/f.u. As for the calculated volume: 277 Å³/cell.

abc: 3.5084 9.0821 9.0821
angles: 81.68 78.86 78.86
Last column: nearest neighbours and their distance in Å.
Atoms (fractional coordinates):
Tb  0.6343  0.1139  0.6175  3 La 3.41-3.72, 1 Nd 3.45, 5 Tb 3.51-3.57
Tb  0.3657  0.8861  0.3825  3 La 3.41-3.72, 1 Nd 3.45, 5 Tb 3.51-3.57
Tb  0.3657  0.3825  0.8861  3 La 3.41-3.72, 1 Nd 3.45, 5 Tb 3.51-3.57
Tb  0.6343  0.6175  0.1139  3 La 3.41-3.72, 1 Nd 3.45, 5 Tb 3.51-3.57
La  0.7577  0.2423  0.2423  6 Tb 3.41-3.72, 2 La 3.51, 2 Nd 3.67
La  0.0000  0.5000  0.5000  6 La 3.51-3.85, 8 Tb 3.90
La  0.2423  0.7577  0.7577  6 Tb 3.41-3.72, 2 La 3.51, 2 Nd 3.67
Nd  0.5000  0.0000  0.0000  4 Tb 3.45, 2 Nd 3.51, 4 La 3.67

---

Best to worst by energy: one, two.